Pr4Er7Th: optimized geometry, GGA-PBE.

Properties
The total magnetic moment comes out at 0.0000 μB/atom. The calculation puts the energy above the most stable polymorph in this dataset at 0.265 eV per atom. The formation energy from the elements is 290 meV per atom.

extended XYZ file:
```
12
Lattice="5.961 0.000 0.000 2.980 11.285 -0.345 2.980 0.164 6.091" Properties=species:S:1:pos:R:3 pbc="T T T"
Pr 5.961 8.858 2.778
Er 2.980 7.773 0.853
Er 8.941 10.505 2.743
Er 8.941 3.676 4.892
Pr 2.980 3.810 1.202
Er 2.980 0.000 0.000
Pr 8.941 7.638 4.544
Er 2.980 0.943 3.002
Pr 5.961 2.590 2.967
Er 5.961 5.738 1.236
Er 5.961 5.710 4.509
Th 0.000 0.000 0.000
```

***

PrEr4Th2: optimized geometry, GGA-PBE.

Properties
The total magnetic moment comes out at 0.0023 μB/atom. The calculation puts the energy above the most stable polymorph in this dataset at 0.000 eV per atom. The formation energy from the elements is 133 meV per atom.

extended XYZ file:
```
7
Lattice="3.504 0.000 0.000 1.752 3.034 0.000 1.752 1.011 21.269" Properties=species:S:1:pos:R:3 pbc="T T T"
Er 1.752 1.011 2.916
Er 1.752 1.011 12.083
Er 5.256 3.034 9.186
Th 1.752 1.011 6.279
Pr 0.000 0.000 0.000
Th 5.256 3.034 14.990
Er 5.256 3.034 18.354
```

***

Pr2Er5Th2: optimized geometry, GGA-PBE.

Properties
The total magnetic moment comes out at 0.0000 μB/atom. The formation energy from the elements is 247 meV per atom.

extended XYZ file:
```
9
Lattice="3.406 0.000 -0.703 -0.481 7.748 -2.333 0.801 -2.822 12.492" Properties=species:S:1:pos:R:3 pbc="T T T"
Er 0.000 0.000 0.000
Th 1.599 5.527 -0.855
Er 2.260 5.432 2.348
Er 3.491 1.908 8.314
Er 0.235 3.018 1.141
Pr 0.786 0.619 3.812
Er 1.466 -0.506 7.108
Pr 2.940 4.308 5.643
Th 2.127 -0.600 10.310
```

***

PrEr7Th2: optimized geometry, GGA-PBE.

Properties
The total magnetic moment comes out at 0.0000 μB/atom. The formation energy from the elements is 444 meV per atom.

extended XYZ file:
```
10
Lattice="-1.268 3.143 4.385 -6.996 -1.710 -4.355 -0.309 -8.124 2.176" Properties=species:S:1:pos:R:3 pbc="T T T"
Pr 0.000 0.000 0.000
Er -3.185 -0.720 -0.433
Er -1.155 -2.667 1.549
Er -7.417 -4.024 0.656
Th -6.584 -1.141 -1.142
Er -4.753 -3.861 -2.165
Er -2.551 -5.973 -0.014
Th -1.988 -5.550 3.347
Er -5.387 -5.970 2.638
Er -4.286 -3.345 1.103
```

***

PrEr10Th4: optimized geometry, GGA-PBE.

Properties
The total magnetic moment comes out at 0.0000 μB/atom. The formation energy from the elements is 511 meV per atom.

extended XYZ file:
```
15
Lattice="10.096 0.000 4.559 5.048 6.740 2.279 2.274 0.000 8.422" Properties=species:S:1:pos:R:3 pbc="T T T"
Er 11.234 3.370 8.770
Er 9.955 6.092 9.328
Er 10.966 2.335 11.636
Th 4.093 1.699 4.394
Er 13.206 4.404 6.674
Er 10.807 0.648 7.442
Er 6.453 4.404 3.625
Pr 0.000 0.000 0.000
Er 6.612 6.092 7.818
Th 13.326 5.040 10.867
Th 8.022 2.320 9.153
Er 7.464 0.648 5.933
Er 4.213 2.335 8.587
Th 9.397 4.420 6.108
Er 6.185 3.370 6.490
```

***

Pr4ErTh: optimized geometry, GGA-PBE.

Properties
The total magnetic moment comes out at 0.0000 μB/atom. The calculation puts the energy above the most stable polymorph in this dataset at 0.155 eV per atom. The formation energy from the elements is 202 meV per atom.

extended XYZ file:
```
6
Lattice="3.490 0.000 0.000 1.745 5.874 -0.211 1.745 0.574 10.276" Properties=species:S:1:pos:R:3 pbc="T T T"
Pr 1.745 0.601 6.757
Pr 3.490 3.300 8.562
Pr 3.490 3.148 1.503
Er 0.000 0.000 0.000
Th 3.490 3.224 5.033
Pr 5.235 5.847 3.308
```

***

Pr6Er3Th2: optimized geometry, GGA-PBE.

Properties
The total magnetic moment comes out at 0.0001 μB/atom. The formation energy from the elements is 220 meV per atom.

extended XYZ file:
```
11
Lattice="0.391 -6.142 1.056 3.130 -3.660 -3.981 9.809 -0.408 6.437" Properties=species:S:1:pos:R:3 pbc="T T T"
Pr 3.752 -4.897 0.921
Pr 9.578 -5.313 2.591
Er 2.352 -6.536 -1.958
Th 7.057 -3.668 0.740
Th 6.273 -6.542 2.772
Er 0.000 0.000 0.000
Pr 4.930 -8.165 -0.061
Pr 8.400 -2.045 3.574
Pr 7.623 -4.914 5.603
Er 1.168 -3.266 -0.967
Pr 2.577 -1.636 1.891
```

***

PrEr9Th2: optimized geometry, GGA-PBE.

Properties
The total magnetic moment comes out at 0.0000 μB/atom. The calculation puts the energy above the most stable polymorph in this dataset at 0.000 eV per atom. The formation energy from the elements is 31 meV per atom.

extended XYZ file:
```
12
Lattice="-2.129 -3.613 -2.716 3.455 0.635 -3.553 8.766 -10.204 6.701" Properties=species:S:1:pos:R:3 pbc="T T T"
Er 0.431 -3.547 -0.214
Th 5.833 -6.790 4.459
Er 6.205 -10.269 4.200
Er 3.318 -6.908 1.993
Er 0.663 -1.489 -3.134
Er 6.499 -8.283 1.328
Er 6.110 -4.785 1.574
Er 8.998 -8.146 3.782
Pr 0.000 0.000 0.000
Th 2.933 -3.414 2.242
Er 3.223 -1.424 -0.633
Er 3.592 -4.899 -0.895
```

***

Pr8ErTh4: optimized geometry, GGA-PBE.

Properties
The total magnetic moment comes out at 0.0000 μB/atom. The formation energy from the elements is 546 meV per atom.

extended XYZ file:
```
13
Lattice="10.107 -0.001 -5.453 -6.524 9.451 -0.001 -2.585 -1.784 7.303" Properties=species:S:1:pos:R:3 pbc="T T T"
Pr -0.406 6.697 -0.753
Pr -6.780 5.851 5.685
Pr 4.456 6.628 -3.835
Pr 1.404 0.969 2.602
Pr -1.633 5.850 2.908
Pr 7.778 1.816 -3.835
Th 1.792 4.725 -2.727
Th -3.262 4.726 0.000
Pr 2.632 1.816 -1.059
Pr -3.458 1.038 5.685
Th 0.000 0.000 0.000
Er -4.554 3.834 3.651
Th 5.054 0.000 -2.727
```

***

Pr3Er5Th2: optimized geometry, GGA-PBE.

Properties
The total magnetic moment comes out at 0.0000 μB/atom. The formation energy from the elements is 213 meV per atom.

extended XYZ file:
```
20
Lattice="3.049 7.632 -3.690 1.392 -1.760 -8.704 -10.293 -0.566 4.427" Properties=species:S:1:pos:R:3 pbc="T T T"
Er -1.890 0.211 -2.689
Er -6.176 2.145 0.876
Pr -4.374 6.630 -2.294
Pr -7.727 -0.540 -5.109
Th -0.734 3.331 -3.099
Pr 0.281 4.588 -5.778
Th -5.117 1.974 -4.868
Pr -6.132 0.717 -2.189
Er -3.812 3.251 -1.926
Er -2.039 2.054 -6.042
Er -6.847 4.141 -2.591
Er 0.995 1.164 -5.376
Er -3.961 5.094 -5.278
Er -4.596 -1.458 -4.423
Pr 1.875 5.845 -2.858
Pr -1.478 -1.325 -5.673
Th -5.285 5.343 0.408
Er 0.324 3.160 -8.843
Er -1.255 6.763 -3.544
Th -0.566 -0.038 -8.375
```

***

PrEr5Th2: optimized geometry, GGA-PBE.

Properties
The total magnetic moment comes out at 0.0001 μB/atom. The formation energy from the elements is 31 meV per atom.

extended XYZ file:
```
8
Lattice="0.523 -3.200 -1.519 9.511 0.253 2.744 -6.972 -0.142 6.310" Properties=species:S:1:pos:R:3 pbc="T T T"
Er -3.877 -0.857 4.671
Pr 0.000 0.000 0.000
Er 6.939 -2.233 2.865
Er 2.231 -2.358 1.506
Th 3.912 -1.477 4.443
Er 4.756 0.126 1.372
Er 0.831 -0.731 6.029
Th -0.849 -1.612 3.092
```

***

Pr3Er8Th: optimized geometry, GGA-PBE.

Properties
The total magnetic moment comes out at 0.0000 μB/atom. The formation energy from the elements is 645 meV per atom.

extended XYZ file:
```
12
Lattice="-6.400 -4.334 -3.296 6.053 -4.438 3.777 -1.711 4.838 6.654" Properties=species:S:1:pos:R:3 pbc="T T T"
Er -6.168 -1.887 2.486
Er -2.121 -2.122 1.119
Pr 2.171 0.200 5.215
Er 2.280 1.455 8.160
Pr -2.970 0.352 4.286
Er 4.001 -2.057 4.385
Th 0.000 0.000 0.000
Er 0.173 -1.802 6.278
Er -2.184 -5.191 4.147
Er 0.040 -0.930 3.107
Er -4.251 -3.203 -1.146
Pr 0.912 -4.286 2.848
```

***

PrEr6Th2: optimized geometry, GGA-PBE.

Properties
The total magnetic moment comes out at 0.0000 μB/atom. The calculation puts the energy above the most stable polymorph in this dataset at 0.021 eV per atom. The formation energy from the elements is 80 meV per atom.

extended XYZ file:
```
9
Lattice="-0.583 3.090 1.665 -1.135 -3.044 1.450 22.908 -2.506 12.663" Properties=species:S:1:pos:R:3 pbc="T T T"
Er 4.063 -1.548 4.294
Er 1.828 0.761 3.028
Th 14.566 -0.632 10.069
Er 16.943 -2.957 11.413
Er 11.939 -2.410 8.647
Pr -0.951 -1.000 1.522
Th 6.809 0.216 5.781
Er 19.547 -1.177 12.822
Er 9.068 -2.096 7.060
```

***

Pr5Er4Th2: optimized geometry, GGA-PBE.

Properties
The total magnetic moment comes out at 0.0000 μB/atom. The calculation puts the energy above the most stable polymorph in this dataset at 0.275 eV per atom. The formation energy from the elements is 395 meV per atom.

extended XYZ file:
```
11
Lattice="-3.323 0.156 -1.154 -1.860 -5.968 4.553 -0.635 11.931 8.811" Properties=species:S:1:pos:R:3 pbc="T T T"
Th -5.167 4.295 10.087
Er -0.599 -1.921 1.465
Er -2.587 7.237 8.429
Pr -1.736 1.975 5.268
Er -3.231 -1.119 3.782
Pr -1.662 0.078 -0.577
Pr -3.182 7.032 4.738
Pr -2.637 -0.914 7.472
Th -0.652 1.823 2.123
Er -1.261 -4.048 3.088
Pr -4.082 4.143 6.942
```

***

Pr3Er3Th: optimized geometry, GGA-PBE.

Properties
The total magnetic moment comes out at 0.0000 μB/atom. The formation energy from the elements is 134 meV per atom.

extended XYZ file:
```
14
Lattice="3.592 0.000 0.000 0.000 10.317 -4.900 0.000 -4.703 15.181" Properties=species:S:1:pos:R:3 pbc="T T T"
Pr 0.898 0.409 11.239
Th 2.694 -1.471 8.855
Er 2.694 4.315 2.378
Er 0.898 6.149 4.681
Pr 0.898 1.736 3.903
Pr 2.694 3.879 6.379
Er 2.694 -2.845 12.365
Th 0.898 7.085 1.426
Pr 2.694 5.205 -0.958
Er 2.694 -0.535 5.601
Pr 0.898 4.469 9.367
Er 0.898 8.459 -2.083
Er 0.898 1.299 7.903
Pr 2.694 1.145 0.914
```

***

PrEr2Th: optimized geometry, GGA-PBE.

Properties
The total magnetic moment comes out at 0.0000 μB/atom. The calculation puts the energy above the most stable polymorph in this dataset at 0.031 eV per atom. The formation energy from the elements is 31 meV per atom.

extended XYZ file:
```
4
Lattice="3.588 0.000 0.000 0.000 6.120 -0.570 0.000 -1.367 5.993" Properties=species:S:1:pos:R:3 pbc="T T T"
Th 1.794 0.000 0.000
Er 0.000 3.060 -0.285
Er 0.000 -0.683 2.997
Pr 1.794 2.377 2.711
```

***

Pr4Er15Th: optimized geometry, GGA-PBE.

Properties
The total magnetic moment comes out at 0.0000 μB/atom. The formation energy from the elements is 27 meV per atom.

extended XYZ file:
```
20
Lattice="5.034 0.000 0.000 0.000 5.034 0.000 0.000 0.000 25.028" Properties=species:S:1:pos:R:3 pbc="T T T"
Er 2.517 0.000 2.441
Er 2.517 2.517 20.043
Pr 0.000 0.000 10.004
Pr 0.000 0.000 4.975
Er 2.517 2.517 10.000
Er 0.000 2.517 17.540
Er 2.517 2.517 0.000
Er 2.517 0.000 12.514
Er 0.000 2.517 7.488
Pr 0.000 0.000 15.025
Er 0.000 2.517 12.514
Er 2.517 2.517 15.029
Er 2.517 0.000 22.588
Er 2.517 0.000 17.540
Pr 0.000 0.000 20.054
Er 0.000 2.517 2.441
Er 2.517 0.000 7.488
Th 0.000 0.000 0.000
Er 0.000 2.517 22.588
Er 2.517 2.517 4.986
```

***

Pr4ErTh: optimized geometry, GGA-PBE.

Properties
The total magnetic moment comes out at 0.0000 μB/atom. The calculation puts the energy above the most stable polymorph in this dataset at 0.000 eV per atom. The formation energy from the elements is 47 meV per atom.

extended XYZ file:
```
6
Lattice="3.610 0.636 -0.049 -0.803 4.344 -2.679 -0.102 1.271 12.056" Properties=species:S:1:pos:R:3 pbc="T T T"
Pr 1.257 3.401 0.155
Er 1.756 0.954 6.003
Th 3.506 1.907 12.007
Pr 3.007 4.372 6.190
Pr -0.300 1.879 3.137
Pr 1.445 2.849 9.173
```

***

PrEr6Th: optimized geometry, GGA-PBE.

Properties
The total magnetic moment comes out at 0.0004 μB/atom. The formation energy from the elements is 28 meV per atom.

extended XYZ file:
```
8
Lattice="5.006 0.000 0.000 0.000 5.006 0.000 0.000 0.000 10.032" Properties=species:S:1:pos:R:3 pbc="T T T"
Er 2.503 0.000 2.552
Er 0.000 2.503 2.552
Er 2.503 2.503 5.016
Er 2.503 2.503 0.000
Pr 0.000 0.000 0.000
Er 0.000 2.503 7.479
Th 0.000 0.000 5.016
Er 2.503 0.000 7.479
```

***

Pr2Er8Th3: optimized geometry, GGA-PBE.

Properties
The total magnetic moment comes out at 0.0000 μB/atom. The formation energy from the elements is 262 meV per atom.

extended XYZ file:
```
13
Lattice="-4.128 5.136 -0.344 -4.854 -3.429 7.056 5.839 6.416 1.103" Properties=species:S:1:pos:R:3 pbc="T T T"
Er -1.575 2.656 6.238
Er -0.694 8.403 3.606
Er -4.847 1.610 5.638
Er -0.034 5.285 4.704
Er -2.449 -0.280 4.210
Er 1.704 6.513 2.178
Er -3.109 2.837 3.111
Er -1.568 5.467 1.578
Th -4.029 -2.846 5.858
Th -2.064 2.568 -0.172
Pr 0.709 3.036 1.962
Th -0.824 -0.582 1.199
Pr -3.852 5.087 5.853
```